No. 1
Below is a relaxed Dy4Sb2Rh crystal, with properties calculated at the GGA-PBE level.

abc: 11.466 4.394 8.647
angles: 90.00 119.80 90.00
Space group C2/m (No. 12)
Unique sites:
Dy (0.070, 0.000, 0.352)
Dy (0.165, 0.500, 0.057)
Sb (0.155, 0.500, 0.662)
Rh (0.000, 0.000, 0.000)

## Properties
Formation energy without anion corrections = -0.82 eV/atom

---

No. 2
Below is a relaxed KZn2Pb crystal, with properties calculated at the GGA-PBE level.

abc: 4.698 4.698 9.849
angles: 90.00 90.00 90.00
Space group I-4m2 (No. 119)
Unique sites:
K (0.000, 0.000, 0.000)
Zn (0.000, 0.000, 0.500)
Zn (0.000, 0.500, 0.250)
Pb (0.000, 0.500, 0.750)

## Properties
E above lowest polymorph = 0.89 eV/f.u.
ΔE_f = 234 meV per atom

---

No. 3
Below is a relaxed La3Sc2Ga3O12 crystal, with properties calculated at the GGA-PBE level.

abc: 12.955 12.955 12.955
angles: 90.00 90.00 90.00
Space group Ia-3d (No. 230)
Unique sites:
La (0.000, 0.250, 0.125)
Sc (0.000, 0.000, 0.000)
Ga (0.000, 0.250, 0.375)
O (0.031, 0.053, 0.653)

## Properties
Formation energy without anion corrections = -2.96 eV/atom

---

| no. | DFT total energy (eV for the cell shown) | D(E_F) (states/eV per atom) |
| --- | --- | --- |
| 1 | -79.46 | 0.576 |
| 2 | -12.84 | 0.405 |
| 3 | -1242.24 | 0.000 |